No. 1
HfMnInFe after structural relaxation. Source: Alexandria, functional PBE.

a b c (Å): 4.512 4.512 4.512
angles (deg): 60.00 60.00 60.00
Last column: magnetic moment on the atom in μB.
Fractional coordinates of all 4 atoms:
Mn 0.750 0.750 0.750  2.97
Hf 0.500 0.500 0.500  -0.46
Fe 0.250 0.250 0.250  1.71
In 0.000 0.000 0.000  -0.07

Properties
Calculated density (kg/m³): 10333
ΔH_f (0 K) (eV per atom): -0.02
Space-group type: F-43m (216)
Total moment (μB per formula unit): 4.07

=====

No. 2
Sr3Sb4Au2 after structural relaxation. Source: Alexandria, functional PBE.

a b c (Å): 4.914 6.570 9.463
angles (deg): 107.68 90.00 111.96
Fractional coordinates of all 9 atoms:
Sr 0.631 0.261 0.677
Sr 0.000 0.000 0.000
Sr 0.369 0.739 0.323
Sb 0.707 0.413 0.050
Sb 0.293 0.587 0.950
Sb 0.902 0.804 0.602
Sb 0.098 0.196 0.398
Au 0.683 0.366 0.332
Au 0.317 0.634 0.668

Properties
Energy relative to the elements, uncorrected (eV per atom): -0.70
Calculated density (kg/m³): 7094
Space-group type: C2/m (12)
Total moment (μB per formula unit): 0.00

=====

No. 3
NiP2Se after structural relaxation. Source: Alexandria, functional PBE.

a b c (Å): 4.280 4.280 4.279
angles (deg): 71.37 71.37 111.17
Fractional coordinates of all 4 atoms:
Ni 0.000 0.500 0.500
P 0.000 0.000 0.000
P 0.500 0.500 0.000
Se 0.500 0.000 0.500

Properties
Energy relative to the elements, uncorrected (eV per atom): 0.08
Calculated density (kg/m³): 5497
Space-group type: I4/mmm (139)
Total moment (μB per formula unit): 0.00

=====

No. 4
PmZn2 after structural relaxation. Source: Alexandria, functional PBE.

a b c (Å): 5.553 5.553 5.553
angles (deg): 60.00 60.00 60.00
Fractional coordinates of all 6 atoms:
Zn 0.125 0.625 0.625
Zn 0.625 0.125 0.625
Zn 0.625 0.625 0.625
Zn 0.625 0.625 0.125
Pm 0.000 0.000 0.000
Pm 0.250 0.250 0.250

Properties
Calculated density (kg/m³): 7564
ΔH_f (0 K) (eV per atom): -0.33
Space-group type: Fd-3m (227)
Total moment (μB per formula unit): 0.00
Energy above the lowest structure with this stoichiometry (meV/atom): 37

=====

No. 5
K3ZrOs after structural relaxation. Source: Alexandria, functional PBE.

a b c (Å): 6.546 6.546 6.546
angles (deg): 90.00 90.00 90.00
Last column: magnetic moment on the atom in μB.
Fractional coordinates of all 5 atoms:
K 0.000 0.500 0.000  -0.05
K 0.000 0.000 0.500  -0.06
K 0.500 0.000 0.000  -0.05
Os 0.500 0.500 0.500  2.79
Zr 0.000 0.000 0.000  -1.90

Properties
Calculated density (kg/m³): 2360
ΔH_f (0 K) (eV per atom): 2.36
Space-group type: Pm-3m (221)
Total moment (μB per formula unit): 1.03
Energy above the lowest structure with this stoichiometry (meV/atom): 192

=====

No. 6
Ta3FeB after structural relaxation. Source: Alexandria, functional PBE.

a b c (Å): 4.287 4.287 4.287
angles (deg): 90.00 90.00 90.00
Fractional coordinates of all 5 atoms:
B 0.000 0.000 0.000
Fe 0.500 0.500 0.500
Ta 0.000 0.500 0.000
Ta 0.000 0.000 0.500
Ta 0.500 0.000 0.000

Properties
Calculated density (kg/m³): 12848
ΔH_f (0 K) (eV per atom): 0.27
Space-group type: Pm-3m (221)
Total moment (μB per formula unit): 0.00
Energy above the lowest structure with this stoichiometry (meV/atom): 0

=====

No. 7
HoEr8Th2 after structural relaxation. Source: Alexandria, functional PBE.

a b c (Å): 6.582 6.534 8.915
angles (deg): 111.50 99.15 90.00
Fractional coordinates of all 11 atoms:
Ho 0.000 0.000 0.000
Th 0.335 0.248 0.495
Th 0.665 0.752 0.505
Er 0.597 0.174 0.827
Er 0.403 0.346 0.173
Er 0.816 0.199 0.398
Er 0.184 0.801 0.602
Er 0.597 0.654 0.827
Er 0.403 0.826 0.173
Er 0.096 0.410 0.820
Er 0.904 0.590 0.180

Properties
Calculated density (kg/m³): 9293
ΔH_f (0 K) (eV per atom): 0.19
Space-group type: C2/m (12)
Total moment (μB per formula unit): 0.00
Energy above the lowest structure with this stoichiometry (meV/atom): 0

=====

No. 8
YSbPb2I after structural relaxation. Source: Alexandria, functional PBE.

a b c (Å): 5.952 5.820 5.952
angles (deg): 90.00 90.00 90.00
Fractional coordinates of all 5 atoms:
Pb 0.000 0.000 0.500
Pb 0.500 0.000 0.000
I 0.500 0.500 0.500
Y 0.000 0.500 0.000
Sb 0.000 0.000 0.000

Properties
Energy relative to the elements, uncorrected (eV per atom): 0.17
Calculated density (kg/m³): 6056
Space-group type: P4/mmm (123)
Total moment (μB per formula unit): 0.00

=====

No. 9
MnVAs2Se after structural relaxation. Source: Alexandria, functional PBE.

a b c (Å): 4.785 4.785 4.775
angles (deg): 90.00 90.00 90.00
Last column: magnetic moment on the atom in μB.
Fractional coordinates of all 5 atoms:
As 0.000 0.500 0.000  -0.14
As 0.500 0.000 0.000  -0.14
Mn 0.500 0.500 0.500  4.40
Se 0.000 0.000 0.500  -0.09
V 0.000 0.000 0.000  0.56

Properties
Energy relative to the elements, uncorrected (eV per atom): 0.38
Calculated density (kg/m³): 5084
Space-group type: P4/mmm (123)
Total moment (μB per formula unit): 4.87
Energy above the lowest structure with this stoichiometry (meV/atom): 0

=====

No. 10
BaIrRh2 after structural relaxation. Source: Alexandria, functional PBE.

a b c (Å): 4.790 4.790 4.790
angles (deg): 60.00 60.00 60.00
Last column: magnetic moment on the atom in μB.
Fractional coordinates of all 4 atoms:
Ir 0.500 0.500 0.500  1.04
Rh 0.250 0.250 0.250  0.69
Rh 0.750 0.750 0.750  0.69
Ba 0.000 0.000 0.000  0.00

Properties
Calculated density (kg/m³): 11440
ΔH_f (0 K) (eV per atom): 0.64
Space-group type: Fm-3m (225)
Total moment (μB per formula unit): 2.44
Energy above the lowest structure with this stoichiometry (meV/atom): 667

=====

No. 11
Hf3MgCl after structural relaxation. Source: Alexandria, functional PBE.

a b c (Å): 4.774 4.774 4.774
angles (deg): 90.00 90.00 90.00
Fractional coordinates of all 5 atoms:
Mg 0.500 0.500 0.500
Hf 0.000 0.500 0.000
Hf 0.000 0.000 0.500
Hf 0.500 0.000 0.000
Cl 0.000 0.000 0.000

Properties
Energy relative to the elements, uncorrected (eV per atom): 0.15
Calculated density (kg/m³): 9086
Space-group type: Pm-3m (221)
Total moment (μB per formula unit): 0.00
Energy above the lowest structure with this stoichiometry (meV/atom): 0

=====

No. 12
HgAu2O2 after structural relaxation. Source: Alexandria, functional PBE.

a b c (Å): 5.726 6.755 6.755
angles (deg): 103.18 114.67 114.67
Fractional coordinates of all 10 atoms:
Hg 0.250 0.896 0.104
Hg 0.750 0.104 0.896
Au 0.000 0.500 0.500
Au 0.000 0.000 0.500
Au 0.500 0.500 0.500
Au 0.500 0.500 0.000
O 0.247 0.302 0.114
O 0.753 0.698 0.886
O 0.253 0.886 0.698
O 0.747 0.114 0.302

Properties
Energy relative to the elements, uncorrected (eV per atom): -0.06
Calculated density (kg/m³): 11044
Space-group type: C2/c (15)
Total moment (μB per formula unit): 0.00

=====

No. 13
ZnI4 after structural relaxation. Source: Alexandria, functional PBE.

a b c (Å): 5.640 5.640 5.640
angles (deg): 90.00 90.00 90.00
Last column: magnetic moment on the atom in μB.
Fractional coordinates of all 5 atoms:
I 0.000 0.000 0.000  0.45
I 0.500 0.000 0.500  0.13
I 0.000 0.500 0.500  0.13
I 0.500 0.500 0.000  0.13
Zn 0.500 0.500 0.500  -0.01

Properties
Energy relative to the elements, uncorrected (eV per atom): 0.09
Calculated density (kg/m³): 5302
Space-group type: Pm-3m (221)
Total moment (μB per formula unit): 1.22
Energy above the lowest structure with this stoichiometry (meV/atom): 392

=====

No. 14
ZnH3Cl after structural relaxation. Source: Alexandria, functional PBE.

a b c (Å): 3.664 3.664 3.664
angles (deg): 90.00 90.00 90.00
Fractional coordinates of all 5 atoms:
H 0.000 0.500 0.000
H 0.000 0.000 0.500
H 0.500 0.000 0.000
Zn 0.000 0.000 0.000
Cl 0.500 0.500 0.500

Properties
Calculated density (kg/m³): 3507
Space-group type: Pm-3m (221)
Total moment (μB per formula unit): 0.00
Energy above the lowest structure with this stoichiometry (meV/atom): 0

=====

No. 15
CaZrAs after structural relaxation. Source: Alexandria, functional PBE.

a b c (Å): 8.117 3.814 10.848
angles (deg): 90.00 119.42 90.00
Fractional coordinates of all 12 atoms:
As 0.291 0.000 0.826
As 0.709 0.000 0.174
As 0.291 0.500 0.326
As 0.709 0.500 0.674
Ca 0.356 0.000 0.569
Ca 0.644 0.000 0.431
Ca 0.356 0.500 0.069
Ca 0.644 0.500 0.931
Zr 0.948 0.000 0.845
Zr 0.052 0.000 0.155
Zr 0.948 0.500 0.345
Zr 0.052 0.500 0.655

Properties
Calculated density (kg/m³): 4682
ΔH_f (0 K) (eV per atom): -0.72
Space-group type: C2/m (12)
Total moment (μB per formula unit): 0.00
Energy above the lowest structure with this stoichiometry (meV/atom): 199

=====

No. 16
Ti2Hg after structural relaxation. Source: Alexandria, functional PBE.

a b c (Å): 5.364 5.364 5.364
angles (deg): 60.00 60.00 60.00
Fractional coordinates of all 6 atoms:
Hg 0.000 0.000 0.000
Hg 0.250 0.250 0.250
Ti 0.125 0.625 0.625
Ti 0.625 0.125 0.625
Ti 0.625 0.625 0.625
Ti 0.625 0.625 0.125

Properties
Calculated density (kg/m³): 9017
ΔH_f (0 K) (eV per atom): 0.21
Space-group type: Fd-3m (227)
Total moment (μB per formula unit): 0.00

=====

No. 17
Nb3PRu after structural relaxation. Source: Alexandria, functional PBE.

a b c (Å): 4.552 4.552 4.552
angles (deg): 90.00 90.00 90.00
Fractional coordinates of all 5 atoms:
Ru 0.500 0.500 0.500
Nb 0.000 0.500 0.000
Nb 0.000 0.000 0.500
Nb 0.500 0.000 0.000
P 0.000 0.000 0.000

Properties
Calculated density (kg/m³): 7230
ΔH_f (0 K) (eV per atom): 0.40
Space-group type: Pm-3m (221)
Total moment (μB per formula unit): 0.00
Energy above the lowest structure with this stoichiometry (meV/atom): 0

=====

No. 18
ZrMnSb2 after structural relaxation. Source: Alexandria, functional PBE.

a b c (Å): 7.538 4.787 3.709
angles (deg): 89.96 60.58 126.65
Last column: magnetic moment on the atom in μB.
Fractional coordinates of all 4 atoms:
Mn 0.500 0.500 0.000  3.52
Sb 0.000 0.000 0.000  -0.04
Sb 0.500 0.000 0.500  -0.04
Zr 0.000 0.500 0.500  -0.21

Properties
Energy relative to the elements, uncorrected (eV per atom): -0.15
Calculated density (kg/m³): 7625
Space-group type: Cmmm (65)
Total moment (μB per formula unit): 3.26

=====

No. 19
Ti8Ni2As after structural relaxation. Source: Alexandria, functional PBE.

a b c (Å): 4.382 6.927 6.927
angles (deg): 117.55 99.52 99.52
Fractional coordinates of all 11 atoms:
Ti 0.909 0.913 0.687
Ti 0.909 0.687 0.913
Ti 0.311 0.608 0.608
Ti 0.500 0.771 0.229
Ti 0.500 0.229 0.771
Ti 0.689 0.392 0.392
Ti 0.091 0.313 0.087
Ti 0.091 0.087 0.313
Ni 0.000 0.310 0.690
Ni 0.000 0.690 0.310
As 0.500 0.000 0.000

Properties
Calculated density (kg/m³): 5407
ΔH_f (0 K) (eV per atom): -0.20
Space-group type: C2/m (12)
Total moment (μB per formula unit): 0.00

=====

No. 20
Hf2VPdC after structural relaxation. Source: Alexandria, functional PBE.

a b c (Å): 4.501 4.501 3.934
angles (deg): 90.00 90.00 90.00
Last column: magnetic moment on the atom in μB.
Fractional coordinates of all 5 atoms:
C 0.000 0.000 0.000  -0.03
Hf 0.000 0.500 0.000  0.04
Hf 0.500 0.000 0.000  0.04
Pd 0.500 0.500 0.500  0.03
V 0.000 0.000 0.500  1.01

Properties
Calculated density (kg/m³): 10970
ΔH_f (0 K) (eV per atom): -0.51
Space-group type: P4/mmm (123)
Total moment (μB per formula unit): 1.27